First-principles (GGA-PBE) data for AcSmCdCu after structural relaxation, as listed in the Alexandria database.

Values from the calculation:
Its formation energy from the elements is -56 kJ/mol of formula units.

Unit cell a=5.425 b=5.425 c=5.425 alpha=60.00 beta=60.00 gamma=60.00
Sites, in units of the cell vectors:
Cu: 0.250 0.250 0.250
Ac: 0.000 0.000 0.000
Sm: 0.500 0.500 0.500
Cd: 0.750 0.750 0.750